No. 1
DFT (GGA-PBE) results for a relaxed Y2RhAu6 crystal.

a = 13.448 Å, b = 3.989 Å, c = 7.051 Å
α = 90.00°, β = 112.04°, γ = 90.00°
Space group C2/m (No. 12)
Asymmetric unit:
Y (0.058, 0.000, 0.307) (multiplicity 4)
Rh (0.000, 0.500, 0.000) (multiplicity 2)
Au (0.105, 0.500, 0.672) (multiplicity 4)
Au (0.168, 0.000, 0.006) (multiplicity 4)
Au (0.229, 0.500, 0.331) (multiplicity 4)

Output
Calculated formation energy, eV per formula unit: -5.1


No. 2
DFT (GGA-PBE) results for a relaxed LiBeAu2 crystal.

a = 2.911 Å, b = 2.911 Å, c = 6.743 Å
α = 90.00°, β = 90.00°, γ = 90.00°
Space group P4/mmm (No. 123)
Asymmetric unit:
Li (0.000, 0.000, 0.000) (multiplicity 1)
Be (0.000, 0.000, 0.500) (multiplicity 1)
Au (0.500, 0.500, 0.280) (multiplicity 2)

Output
Calculated formation energy, eV per formula unit: -1.4


No. 3
DFT (GGA-PBE) results for a relaxed RbIr2O6 crystal.

a = 5.3522 Å, b = 5.3522 Å, c = 6.1891 Å
α = 90.00°, β = 90.00°, γ = 120.00°
Space group P-31m (No. 162)
Asymmetric unit:
Rb (0.0000, 0.0000, 0.0000) (multiplicity 1)
Ir (0.3333, 0.6667, 0.5000) (multiplicity 2)
O (0.0000, 0.3912, 0.6703) (multiplicity 6)

Output
Raw formation energy, meV/atom: -910


Result set for total energy: -5.009, -3.388, -6.292 eV/atom, one per record in the order listed.